# La3Pu2PaP6 PBE optimized geometry
data_La3Pu2PaP6
_cell_length_a 7.137
_cell_length_b 7.137
_cell_length_c 7.172
_cell_angle_alpha 99.55
_cell_angle_beta 99.55
_cell_angle_gamma 120.00
_space_group_name_H-M_alt 'P 1'
_space_group_IT_number 1
_space_group_name_Hall 'P 1'
loop_
_atom_site_label
_atom_site_fract_x
_atom_site_fract_y
_atom_site_fract_z
La1 0.168 0.832 0.500
La2 0.500 0.500 0.500
P1 0.748 0.748 0.229
Pu1 0.666 0.334 0.000
P2 0.076 0.405 0.229
P3 0.924 0.595 0.771
Pu2 0.334 0.666 0.000
Pa1 0.000 0.000 0.000
P4 0.252 0.252 0.771
La3 0.832 0.168 0.500
P5 0.595 0.924 0.771
P6 0.405 0.076 0.229
# **E_form**: -1.39 eV per atom
# **Total DFT energy (no corrections)**: -8.50 eV/atom
# **Symmetry**: C2/m